Record 1
VASP calculation (GGA-PBE) on an optimized crystal structure of Tm4SnHgC.

Lattice parameters (Å, degrees): 6.7939 6.7667 8.2449 90.00 114.33 90.00
Last column: nearest neighbours and their distance in Å.
Element x y z (fractional)
Tm 0.4102 0.7500 0.8205  1 C 2.42
Tm 0.9162 0.2500 0.8324  1 C 2.48
Tm 0.0000 0.0000 0.5000  2 C 2.40
Tm 0.0000 0.5000 0.5000  2 C 2.40
Tm 0.5000 0.0000 0.5000  2 C 2.40
Tm 0.5898 0.2500 0.1795  1 C 2.42
Tm 0.0838 0.7500 0.1676  1 C 2.48
Tm 0.5000 0.5000 0.5000  2 C 2.40
C 0.7511 0.2500 0.5022  6 Tm 2.40-2.48
C 0.2489 0.7500 0.4978  6 Tm 2.40-2.48
Sn 0.3853 0.2500 0.7705  9 Tm 3.07-3.43
Sn 0.6147 0.7500 0.2295  9 Tm 3.07-3.43
Hg 0.1155 0.2500 0.2310  5 Tm 2.99-3.14
Hg 0.8845 0.7500 0.7690  5 Tm 2.99-3.14

Output
calculated formation energy: -0.5087 eV/atom
energy: -69.95 eV for the cell shown


Record 2
VASP calculation (GGA-PBE) on an optimized crystal structure of Pr4Cu2Hg.

Lattice parameters (Å, degrees): 5.0671 5.0671 9.6035 74.70 74.70 60.00
Last column: nearest neighbours and their distance in Å.
Element x y z (fractional)
Pr 0.2055 0.2055 0.3835  4 Cu 2.93-3.03
Pr 0.7945 0.7945 0.6165  4 Cu 2.93-3.03
Pr 0.3818 0.3818 0.8547  3 Hg 3.21, 3 Cu 3.23
Pr 0.6182 0.6182 0.1453  3 Hg 3.21, 3 Cu 3.23
Cu 0.9013 0.9013 0.2961  1 Hg 2.71, 4 Pr 2.93-3.03
Cu 0.0987 0.0987 0.7039  1 Hg 2.71, 4 Pr 2.93-3.03
Hg 0.0000 0.0000 0.0000  2 Cu 2.71

Output
calculated formation energy: -0.0513 eV/atom
energy: -27.97 eV for the cell shown


Record 3
VASP calculation (GGA-PBE) on an optimized crystal structure of BaFe2Os.

Lattice parameters (Å, degrees): 3.2161 3.2161 7.4991 90.00 90.00 90.00
Last column: nearest neighbours and their distance in Å.
Element x y z (fractional)
Fe 0.0000 0.0000 0.4049  1 Fe 2.32, 4 Os 2.55
Fe 0.0000 0.0000 0.0951  1 Fe 2.32, 4 Os 2.55
Ba 0.5000 0.5000 0.7500  4 Ba 3.22, 8 Fe 3.45
Os 0.5000 0.5000 0.2500  8 Fe 2.55

Output
energy above the lowest structure with this stoichiometry: 249 meV per atom
calculated formation energy: 0.6472 eV/atom
energy: -27.49 eV for the cell shown


Record 4
VASP calculation (GGA-PBE) on an optimized crystal structure of TbZnGe2.

Lattice parameters (Å, degrees): 4.0871 4.0871 9.8513 101.97 101.97 90.00
Last column: nearest neighbours and their distance in Å.
Element x y z (fractional)
Tb 0.1157 0.1157 0.2315  8 Ge 2.99-3.00, 4 Zn 3.25
Tb 0.8843 0.8843 0.7685  8 Ge 2.99-3.00, 4 Zn 3.25
Ge 0.6585 0.6585 0.3170  4 Zn 2.67
Ge 0.3415 0.3415 0.6830  4 Zn 2.67
Ge 0.0000 0.5000 0.0000  4 Ge 2.89, 4 Tb 2.99
Ge 0.5000 0.0000 0.0000  4 Ge 2.89, 4 Tb 2.99
Zn 0.7500 0.2500 0.5000  4 Ge 2.67, 4 Zn 2.89
Zn 0.2500 0.7500 0.5000  4 Ge 2.67, 4 Zn 2.89

Output
calculated formation energy: -0.4904 eV/atom
energy: -34.20 eV for the cell shown